This record from Alexandria describes crystalline ScFeHg2 at its relaxed geometry. The functional is GGA-PBEsol.

## Properties
- Density: 10.96 g cm⁻³
- Formation energy: 0.118 eV/atom

Unit cell a=3.1888 b=3.1888 c=25.9039 alpha=90.00 beta=90.00 gamma=120.00
Space group R3m (No. 160, hexagonal axes)
Asymmetric unit:
Sc: 0.0000 0.0000 0.0000 x3
Fe: 0.0000 0.0000 0.7377 x3
Hg: 0.0000 0.0000 0.2422 x3
Hg: 0.0000 0.0000 0.4813 x3

This record from Alexandria describes crystalline Mg2MnWO6 at its relaxed geometry. The functional is GGA-PBEsol.

## Properties
- Density: 6.09 g cm⁻³
- E above lowest polymorph: 0.43 eV per formula unit
- ΔE_f (raw): -2202.2 meV per atom

Unit cell a=5.110 b=5.314 c=9.219 alpha=90.00 beta=123.39 gamma=90.00
Space group P2_1/c (No. 14)
Asymmetric unit:
Mg: 0.224 0.050 0.233 x4
Mn: 0.000 0.000 0.500 x2
W: 0.500 0.000 0.000 x2
O: 0.132 0.177 0.948 x4
O: 0.241 0.699 0.909 x4
O: 0.402 0.086 0.769 x4

This record from Alexandria describes crystalline Be2NiSe2 at its relaxed geometry. The functional is GGA-PBEsol.

## Properties
- Density: 5.50 g cm⁻³
- ΔE_f (raw): 141.4 meV per atom

Unit cell a=6.506 b=6.506 c=3.345 alpha=90.00 beta=90.00 gamma=90.00
Space group P4/mbm (No. 127)
Asymmetric unit:
Be: 0.135 0.365 0.000 x4
Ni: 0.000 0.000 0.500 x2
Se: 0.192 0.692 0.500 x4

This record from Alexandria describes crystalline LiSi at its relaxed geometry. The functional is GGA-PBEsol.

## Properties
- Density: 1.99 g cm⁻³
- ΔE_f (raw): 43.9 meV per atom

Unit cell a=2.643 b=2.643 c=8.357 alpha=90.00 beta=90.00 gamma=90.00
Space group P4/nmm (No. 129, origin choice 2)
Asymmetric unit:
Li: 0.250 0.250 0.147 x2
Si: 0.250 0.250 0.621 x2

This record from Alexandria describes crystalline Li3Zn at its relaxed geometry. The functional is GGA-PBEsol.

## Properties
- Density: 2.15 g cm⁻³
- Formation energy: -0.067 eV/atom

Unit cell a=2.852 b=2.852 c=8.174 alpha=90.00 beta=90.00 gamma=90.00
Space group P4/mmm (No. 123)
Asymmetric unit:
Li: 0.000 0.000 0.000 x1
Li: 0.500 0.500 0.280 x2
Zn: 0.000 0.000 0.500 x1

This record from Alexandria describes crystalline Ga3BiCl at its relaxed geometry. The functional is GGA-PBEsol.

## Properties
- Density: 5.73 g cm⁻³
- ΔE_f (raw): 225.1 meV per atom

Unit cell a=5.086 b=5.086 c=5.086 alpha=90.00 beta=90.00 gamma=90.00
Space group Pm-3m (No. 221)
Asymmetric unit:
Ga: 0.000 0.000 0.500 x3
Bi: 0.500 0.500 0.500 x1
Cl: 0.000 0.000 0.000 x1

This record from Alexandria describes crystalline Sm2Ga8Co at its relaxed geometry. The functional is GGA-PBEsol.

## Properties
- Density: 7.77 g cm⁻³
- Formation energy: -0.534 eV/atom

Unit cell a=4.203 b=4.203 c=11.095 alpha=90.00 beta=90.00 gamma=90.00
Space group P4/mmm (No. 123)
Asymmetric unit:
Sm: 0.000 0.000 0.195 x2
Ga: 0.000 0.500 0.000 x2
Ga: 0.000 0.500 0.385 x4
Ga: 0.500 0.500 0.196 x2
Co: 0.000 0.000 0.500 x1

This record from Alexandria describes crystalline NiHgBr2 at its relaxed geometry. The functional is GGA-PBEsol.

## Properties
- Density: 6.99 g cm⁻³
- E above lowest polymorph: 0.41 eV per formula unit
- ΔE_f (raw): -8.6 meV per atom

Unit cell a=3.458 b=6.771 c=8.506 alpha=90.00 beta=90.00 gamma=90.00
Space group Cmm2 (No. 35)
Asymmetric unit:
Ni: 0.000 0.000 0.000 x2
Hg: 0.000 0.500 0.784 x2
Br: 0.000 0.000 0.547 x2
Br: 0.000 0.500 0.173 x2

This record from Alexandria describes crystalline CoAgRu2 at its relaxed geometry. The functional is GGA-PBEsol.

## Properties
- Density: 11.59 g cm⁻³
- Formation energy: 0.513 eV/atom

Unit cell a=3.735 b=3.735 c=7.579 alpha=90.00 beta=90.00 gamma=90.00
Space group I-4m2 (No. 119)
Asymmetric unit:
Co: 0.000 0.000 0.000 x2
Ag: 0.000 0.500 0.750 x2
Ru: 0.000 0.000 0.500 x2
Ru: 0.000 0.500 0.250 x2

This record from Alexandria describes crystalline BePtCl3 at its relaxed geometry. The functional is GGA-PBEsol.

## Properties
- Density: 4.69 g cm⁻³
- ΔE_f (raw): 349.1 meV per atom

Unit cell a=4.789 b=4.789 c=4.789 alpha=90.00 beta=90.00 gamma=90.00
Space group Pm-3m (No. 221)
Asymmetric unit:
Be: 0.000 0.000 0.000 x1
Pt: 0.500 0.500 0.500 x1
Cl: 0.000 0.500 0.500 x3

This record from Alexandria describes crystalline As2Ru at its relaxed geometry. The functional is GGA-PBEsol.

## Properties
- Density: 8.13 g cm⁻³
- Formation energy: -0.104 eV/atom

Unit cell a=8.821 b=2.991 c=7.767 alpha=90.00 beta=91.50 gamma=90.00
Space group Cm (No. 8)
Asymmetric unit:
As: 0.000 0.000 0.000 x2
As: 0.031 0.000 0.445 x2
As: 0.222 0.000 0.717 x2
As: 0.258 0.500 0.166 x2
Ru: 0.317 0.000 0.416 x2
Ru: 0.496 0.000 0.743 x2

This record from Alexandria describes crystalline Pd2PbS at its relaxed geometry. The functional is GGA-PBEsol.

## Properties
- Density: 10.98 g cm⁻³
- ΔE_f (raw): -86.1 meV per atom

Unit cell a=6.492 b=6.492 c=6.492 alpha=90.00 beta=90.00 gamma=90.00
Space group Fm-3m (No. 225)
Asymmetric unit:
Pd: 0.250 0.250 0.250 x8
Pb: 0.000 0.000 0.000 x4
S: 0.000 0.000 0.500 x4